A geometry-optimized Li3Al2Ga4 structure. Source: Alexandria, functional PBE.

The structure in POSCAR format:
```
Li3Al2Ga4
1.0
4.293 0.000 0.000
-2.146 5.052 -0.629
0.000 -2.853 7.653
Li Al Ga
3 2 4
Direct
0.639 0.278 0.679
0.000 0.000 0.000
0.361 0.722 0.321
0.674 0.349 0.348
0.326 0.651 0.652
0.759 0.517 0.088
0.241 0.483 0.912
0.963 0.925 0.633
0.037 0.075 0.367
```

Values from the calculation:
Formation energy from the elements: -0.183 eV per atom
Size of the total moment: 0.0000 μB/atom
E_tot: -2.998 eV per atom
Mass density: 3711 kg/m³
Energy above the most stable polymorph in this dataset: 0.0000 eV per atom
Space group: C2/m


A geometry-optimized MnCd2 structure. Source: Alexandria, functional PBE.

The structure in POSCAR format:
```
MnCd2
1.0
1.702 -3.722 4.058
2.790 -0.986 4.946
-5.037 0.413 4.897
Mn Cd
2 4
Direct
0.941 0.941 0.620
0.286 0.286 0.923
0.991 0.991 0.997
0.616 0.616 0.271
0.336 0.336 0.345
0.664 0.664 0.677
```

Values from the calculation:
Formation energy from the elements: 0.245 eV per atom
Size of the total moment: 1.2747 μB/atom
E_tot: -3.421 eV per atom
Mass density: 7982 kg/m³
Space group: Cm


A geometry-optimized TaAgRu2 structure. Source: Alexandria, functional PBE.

The structure in POSCAR format:
```
TaAgRu2
1.0
4.487 0.000 0.000
2.244 3.886 0.000
2.244 1.295 3.664
Ag Ru Ta
1 2 1
Direct
0.500 0.500 0.500
0.000 0.000 0.000
0.250 0.250 0.250
0.750 0.750 0.750
```

Values from the calculation:
Formation energy from the elements: 0.434 eV per atom
Size of the total moment: 0.3148 μB/atom
E_tot: -7.880 eV per atom
Mass density: 12760 kg/m³
Energy above the most stable polymorph in this dataset: 0.3642 eV per atom
Space group: F-43m